Density functional theory data (PBE) for an optimized crystal structure of HgGeIr2Rh.

Cell: 4.5203 4.5203 4.9552 Å, 90.00 90.00 90.00°
Atoms (fractional coordinates):
Hg  0.0000  0.0000  0.0000
Ge  0.0000  0.0000  0.5000
Ir  0.0000  0.5000  0.5000
Ir  0.5000  0.0000  0.5000
Rh  0.5000  0.5000  0.0000

ΔE_f = 1.26 eV/atom
Magnetization = 1.5 μB/f.u.